Entry 1:
SbI3Br: optimized geometry, PBE.

Unit cell a=7.5655 b=8.4961 c=10.2413 alpha=88.26 beta=87.02 gamma=72.57
Positions (direct):
Sb1 0.0000 0.0000 0.0000
Sb2 0.2567 0.2770 0.4977
I1 0.1708 0.9077 0.7589
I2 0.2234 0.9025 0.2389
I3 0.4515 0.8193 0.4564
I4 0.4579 0.3349 0.2784
I5 0.4787 0.3149 0.6919
I6 0.8494 0.3345 0.9699
Br1 0.0053 0.5571 0.5105
Br2 0.7189 0.8978 0.9960

The value obtained for the energy relative to the elements, uncorrected is -1.31 eV per formula unit. The symmetry is P1.


Entry 2:
SbIBr2: optimized geometry, PBE.

Unit cell a=5.4351 b=5.4351 c=5.4351 alpha=60.00 beta=60.00 gamma=60.00
Positions (direct):
Sb1 0.0000 0.0000 0.0000
I1 0.5000 0.5000 0.5000
Br1 0.2500 0.2500 0.2500
Br2 0.7500 0.7500 0.7500

The value obtained for the energy relative to the elements, uncorrected is 0.91 eV per formula unit. The symmetry is Fm-3m. For the density of states at the Fermi level, the calculation gives 0.15 states/eV per cell.


Entry 3:
Sb2IBr: optimized geometry, PBE.

Unit cell a=5.4716 b=5.4716 c=5.4716 alpha=60.00 beta=60.00 gamma=60.00
Positions (direct):
Sb1 0.2500 0.2500 0.2500
Sb2 0.7500 0.7500 0.7500
I1 0.0000 0.0000 0.0000
Br1 0.5000 0.5000 0.5000

The value obtained for the energy relative to the elements, uncorrected is 1.52 eV per formula unit. The symmetry is Fm-3m. For the density of states at the Fermi level, the calculation gives 2.43 states/eV per cell.


Entry 4:
ScSb2IBr: optimized geometry, PBE.

Unit cell a=5.5972 b=5.5972 c=5.5177 alpha=90.00 beta=90.00 gamma=90.00
Positions (direct):
Sc1 0.0000 0.0000 0.0000
Sb1 0.0000 0.5000 0.0000
Sb2 0.5000 0.0000 0.0000
I1 0.0000 0.0000 0.5000
Br1 0.5000 0.5000 0.5000

The value obtained for the energy relative to the elements, uncorrected is -0.34 eV per formula unit. The symmetry is P4/mmm. For the density of states at the Fermi level, the calculation gives 3.54 states/eV per cell.


Entry 5:
ScSb2IBr: optimized geometry, PBE.

Unit cell a=5.5382 b=5.5382 c=5.5317 alpha=90.00 beta=90.00 gamma=90.00
Positions (direct):
Sc1 0.0000 0.0000 0.0000
Sb1 0.0000 0.5000 0.5000
Sb2 0.5000 0.0000 0.5000
I1 0.5000 0.5000 0.0000
Br1 0.5000 0.5000 0.5000

The value obtained for the energy relative to the elements, uncorrected is 3.33 eV per formula unit. The symmetry is P4/mmm. For the density of states at the Fermi level, the calculation gives 3.10 states/eV per cell.


Entry 6:
SbSeI2Br: optimized geometry, PBE.

Unit cell a=5.5387 b=5.5387 c=5.9862 alpha=90.00 beta=90.00 gamma=90.00
Positions (direct):
Sb1 0.0000 0.0000 0.0000
Se1 0.0000 0.0000 0.5000
I1 0.0000 0.5000 0.5000
I2 0.5000 0.0000 0.5000
Br1 0.5000 0.5000 0.0000

The value obtained for the energy relative to the elements, uncorrected is 1.94 eV per formula unit. The symmetry is P4/mmm. For the density of states at the Fermi level, the calculation gives 3.53 states/eV per cell.


Entry 7:
SbSeIBr2: optimized geometry, PBE.

Unit cell a=5.4114 b=5.4114 c=5.8463 alpha=90.00 beta=90.00 gamma=90.00
Positions (direct):
Sb1 0.0000 0.0000 0.0000
Se1 0.0000 0.0000 0.5000
I1 0.5000 0.5000 0.5000
Br1 0.0000 0.5000 0.0000
Br2 0.5000 0.0000 0.0000

The value obtained for the energy relative to the elements, uncorrected is 0.42 eV per formula unit. The symmetry is P4/mmm. For the density of states at the Fermi level, the calculation gives 5.06 states/eV per cell.


Entry 8:
Sb2SeIBr: optimized geometry, PBE.

Unit cell a=5.5474 b=5.5474 c=5.7648 alpha=90.00 beta=90.00 gamma=90.00
Positions (direct):
Sb1 0.0000 0.5000 0.0000
Sb2 0.5000 0.0000 0.0000
Se1 0.0000 0.0000 0.0000
I1 0.0000 0.0000 0.5000
Br1 0.5000 0.5000 0.5000

The value obtained for the energy relative to the elements, uncorrected is 2.58 eV per formula unit. The symmetry is P4/mmm. For the density of states at the Fermi level, the calculation gives 4.36 states/eV per cell.